This record from Alexandria describes crystalline HfBiBr2 at its relaxed geometry. The functional is PBE.

abc: 12.4816 12.4816 12.4816
angles: 15.61 15.61 15.61
Positions (direct):
Hf  0.5000  0.5000  0.5000
Bi  0.0000  0.0000  0.0000
Br  0.8856  0.8856  0.8856
Br  0.1144  0.1144  0.1144

Output
volume = 30.674 A^3/atom
energy above the most stable polymorph in this dataset = 0 meV per atom
space-group type = R-3m
energy relative to the elements, uncorrected = -0.605 eV per atom
magnetization = 0.0000 μB/atom

This record from Alexandria describes crystalline HfBiBr2 at its relaxed geometry. The functional is PBE.

abc: 5.1322 5.1322 5.1322
angles: 60.00 60.00 60.00
Positions (direct):
Hf  0.0000  0.0000  0.0000
Bi  0.5000  0.5000  0.5000
Br  0.2500  0.2500  0.2500
Br  0.7500  0.7500  0.7500

Output
volume = 23.896 A^3/atom
energy above the most stable polymorph in this dataset = 794 meV per atom
space-group type = Fm-3m
energy relative to the elements, uncorrected = 0.189 eV per atom
magnetization = 0.0000 μB/atom

This record from Alexandria describes crystalline HfBiIrBr2 at its relaxed geometry. The functional is PBE.

abc: 4.9407 5.5627 4.9407
angles: 90.00 90.00 90.00
Positions (direct):
Ir  0.0000  0.0000  0.0000
Hf  0.5000  0.5000  0.5000
Bi  0.0000  0.5000  0.0000
Br  0.0000  0.0000  0.5000
Br  0.5000  0.0000  0.0000

Output
volume = 27.158 A^3/atom
space-group type = P4/mmm
energy relative to the elements, uncorrected = 0.732 eV per atom
magnetization = 0.1377 μB/atom

This record from Alexandria describes crystalline Hf2BiPbBr at its relaxed geometry. The functional is PBE.

abc: 5.5803 5.5337 5.5803
angles: 90.00 90.00 90.00
Positions (direct):
Pb  0.5000  0.5000  0.5000
Hf  0.0000  0.0000  0.5000
Hf  0.5000  0.0000  0.0000
Bi  0.0000  0.0000  0.0000
Br  0.0000  0.5000  0.0000

Output
volume = 34.464 A^3/atom
space-group type = P4/mmm
energy relative to the elements, uncorrected = 1.069 eV per atom
magnetization = 0.0000 μB/atom

One value per record, in order, for theoretical density: 7.41, 9.51, 9.04, 8.22 g/cm³.